Computed, not measured: a relaxed structure of Na2PuAlO4 at the PBE level of DFT. Values from VASP.

Output
ρ in g cm⁻³: 6.250
Space group: P2/m (10)
Calculated volume in Å³ per cell: 101.2
ΔE_f (raw) in eV/atom: -2.2574

Quantum ESPRESSO input file:
```
&SYSTEM
  ibrav = 0, nat = 8, ntyp = 4
/
ATOMIC_SPECIES
Na 22.99 Na.upf
Pu 244.00 Pu.upf
Al 26.98 Al.upf
O 16.00 O.upf
CELL_PARAMETERS angstrom
-2.702 -1.446 -1.019
2.367 -0.835 -5.090
1.160 -4.587 3.434
ATOMIC_POSITIONS angstrom
Na -0.771 -3.017 1.207
Na 1.764 -2.711 -0.828
Pu -0.167 -1.141 -3.055
Al 0.000 0.000 0.000
O -0.628 -1.807 -0.890
O 1.453 -5.062 -1.786
O 1.429 -3.846 1.668
O 2.098 -1.577 -3.325
```

Computed, not measured: a relaxed structure of InSnH at the PBE level of DFT. Values from VASP.

Output
ρ in g cm⁻³: 5.838
Offset from the most stable computed form in kJ/mol of atoms: 14.5
Space group: Cmcm (63)
Calculated volume in Å³ per cell: 266.8

Quantum ESPRESSO input file:
```
&SYSTEM
  ibrav = 0, nat = 12, ntyp = 3
/
ATOMIC_SPECIES
H 1.01 H.upf
Sn 118.71 Sn.upf
In 114.82 In.upf
CELL_PARAMETERS angstrom
7.321 0.000 0.000
0.000 6.538 0.000
0.000 0.000 5.575
ATOMIC_POSITIONS angstrom
H 5.508 1.634 5.575
H 5.474 4.903 2.787
H 1.813 4.903 0.000
H 1.847 1.634 2.787
Sn 3.660 1.634 5.575
Sn 0.001 4.903 2.787
Sn 3.661 4.903 0.000
Sn 7.320 1.634 2.787
In 0.000 0.000 0.000
In 3.661 3.269 2.787
In 3.661 0.000 2.787
In 0.000 3.269 0.000
```

Computed, not measured: a relaxed structure of Y2ZrW at the PBE level of DFT. Values from VASP.

Output
ρ in g cm⁻³: 7.553
Offset from the most stable computed form in kJ/mol of atoms: 8.1
Space group: Imm2 (44)
Calculated volume in Å³ per cell: 99.6
Energy relative to the elements in eV/atom: 0.314

Quantum ESPRESSO input file:
```
&SYSTEM
  ibrav = 0, nat = 4, ntyp = 3
/
ATOMIC_SPECIES
W 183.84 W.upf
Y 88.91 Y.upf
Zr 91.22 Zr.upf
CELL_PARAMETERS angstrom
6.082 0.004 -0.005
2.663 5.468 0.005
-3.740 -3.747 2.993
ATOMIC_POSITIONS angstrom
W 1.812 2.331 1.499
Y 0.268 0.167 0.000
Y 3.300 -0.539 1.494
Zr 3.998 2.502 0.000
```

Computed, not measured: a relaxed structure of HoNpPb2O6 at the PBE level of DFT. Values from VASP.

Output
ρ in g cm⁻³: 9.642
Space group: P2_1/c (14)
Calculated volume in Å³ per cell: 314.2
ΔE_f (raw) in eV/atom: -2.3651

Quantum ESPRESSO input file:
```
&SYSTEM
  ibrav = 0, nat = 20, ntyp = 4
/
ATOMIC_SPECIES
Ho 164.93 Ho.upf
Np 237.00 Np.upf
Pb 207.20 Pb.upf
O 16.00 O.upf
CELL_PARAMETERS angstrom
5.992 0.000 -0.016
0.000 6.105 0.000
0.030 0.000 8.591
ATOMIC_POSITIONS angstrom
Ho 2.996 0.000 -0.008
Ho 0.015 3.052 4.296
Np 3.011 0.000 4.288
Np 0.000 3.052 0.000
Pb 0.035 5.918 2.155
Pb 3.046 3.239 6.443
Pb 5.987 0.187 6.421
Pb 2.976 2.866 2.133
O 1.752 4.239 0.377
O 4.763 4.918 4.665
O 4.269 1.866 8.199
O 1.258 1.187 3.911
O 1.857 4.330 3.886
O 4.868 4.827 8.174
O 4.164 1.775 4.690
O 1.153 1.278 0.402
O 5.448 3.203 2.082
O 2.467 5.954 6.386
O 0.574 2.902 6.493
O 3.555 0.151 2.190
```

Computed, not measured: a relaxed structure of ScTlSeN2 at the PBE level of DFT. Values from VASP.

Output
ρ in g cm⁻³: 5.854
Offset from the most stable computed form in kJ/mol of atoms: 72.3
Space group: P4/mmm (123)
Calculated volume in Å³ per cell: 101.1
ΔE_f (raw) in eV/atom: 1.1700

Quantum ESPRESSO input file:
```
&SYSTEM
  ibrav = 0, nat = 5, ntyp = 4
/
ATOMIC_SPECIES
Sc 44.96 Sc.upf
Tl 204.38 Tl.upf
Se 78.96 Se.upf
N 14.01 N.upf
CELL_PARAMETERS angstrom
-2.719 3.162 0.573
-1.241 -0.341 -4.008
-4.016 -3.737 1.562
ATOMIC_POSITIONS angstrom
Sc -3.988 -0.458 -0.936
Tl 0.000 0.000 0.000
Se -2.008 -1.869 0.781
N -0.621 -0.171 -2.004
N -1.360 1.581 0.286
```

Computed, not measured: a relaxed structure of Be2WBr at the PBE level of DFT. Values from VASP.

Output
ρ in g cm⁻³: 8.376
Offset from the most stable computed form in kJ/mol of atoms: 44.1
Space group: Cmmm (65)
Calculated volume in Å³ per cell: 55.9
ΔE_f (raw) in eV/atom: 0.8438

Quantum ESPRESSO input file:
```
&SYSTEM
  ibrav = 0, nat = 4, ntyp = 3
/
ATOMIC_SPECIES
Be 9.01 Be.upf
Br 79.90 Br.upf
W 183.84 W.upf
CELL_PARAMETERS angstrom
-4.145 -1.795 -0.638
2.794 -3.251 1.559
-0.702 0.674 2.665
ATOMIC_POSITIONS angstrom
Be 0.000 0.000 0.000
Be -0.675 -2.523 0.461
Br -2.423 -0.561 1.014
W 1.046 -1.289 2.112
```